No. 1
A plane-wave DFT calculation with PBE-GGA was carried out for a geometry-optimized Er2MgMn structure.

Results
* ΔH_f (0 K): 0.023 eV/atom

Cell lengths 3.4624, 3.4624, 8.0501 Å; angles 90.00, 90.00, 90.00 degrees
Fractional positions:
Er1 0.0000 0.0000 0.2138
Er2 0.0000 0.0000 0.7862
Mg1 0.5000 0.5000 0.5000
Mn1 0.5000 0.5000 0.0000

***

No. 2
A plane-wave DFT calculation with PBE-GGA was carried out for a geometry-optimized Dy8Y3Er3 structure.

Results
* ΔH_f (0 K): 0.106 eV/atom

Cell lengths 9.5862, 9.5862, 9.5862 Å; angles 146.12, 111.81, 78.36 degrees
Fractional positions:
Dy1 0.0555 0.8964 0.1591
Dy2 0.0629 0.7217 0.3412
Dy3 0.2626 0.1036 0.1591
Dy4 0.3804 0.7217 0.6588
Dy5 0.6196 0.2783 0.3412
Dy6 0.7374 0.8964 0.8409
Dy7 0.9371 0.2783 0.6588
Dy8 0.9445 0.1036 0.8409
Y1 0.3195 0.3195 0.0000
Y2 0.5000 0.0000 0.5000
Y3 0.6805 0.6805 0.0000
Er1 0.0000 0.5000 0.5000
Er2 0.2956 0.5000 0.7956
Er3 0.7044 0.5000 0.2044

***

No. 3
A plane-wave DFT calculation with PBE-GGA was carried out for a geometry-optimized NbAlO6 structure.

Results
* ΔE_f (raw): -11.92 eV/f.u.

Cell lengths 5.4488, 5.4488, 5.4488 Å; angles 60.00, 60.00, 60.00 degrees
Fractional positions:
Nb1 0.0000 0.0000 0.0000
Al1 0.5000 0.5000 0.5000
O1 0.2584 0.2584 0.7416
O2 0.2584 0.7416 0.2584
O3 0.2584 0.7416 0.7416
O4 0.7416 0.2584 0.2584
O5 0.7416 0.2584 0.7416
O6 0.7416 0.7416 0.2584

***

No. 4
A plane-wave DFT calculation with PBE-GGA was carried out for a geometry-optimized Al2ReRhI structure.

Results
* ΔE_f (raw): 11.37 eV/f.u.

Cell lengths 5.0685, 5.0685, 4.8112 Å; angles 90.00, 90.00, 90.00 degrees
Fractional positions:
Al1 0.0000 0.5000 0.0000
Al2 0.5000 0.0000 0.0000
Re1 0.0000 0.0000 0.5000
Rh1 0.5000 0.5000 0.5000
I1 0.0000 0.0000 0.0000

***

In μB per cell, the total magnetic moment values for the records above are, in order, 2.8, 0.0, 4.0, 0.0.